1.
Crystalline Pm2Ga6Pd at its relaxed geometry. Source: Alexandria via LeMat-Bulk, functional PBE-GGA.

## Properties
E_form in eV/atom: -0.619
Crystal system: trigonal
Excess energy over the best structure of this formula in the dataset in kJ/mol of formula units: 30

Cell: 5.9539 5.9539 5.7455 Å, 90.00 90.00 120.00°
With the nearest neighbours (Å) after each atom.
Space group P-3m1 (No. 164)
Unique sites:
Pm: 0.3333 0.6667 0.3452 x2  12 Ga 3.13-3.41
Ga: 0.1768 0.3535 0.8222 x6  1 Pd 2.60, 4 Ga 2.74-2.80
Pd: 0.0000 0.0000 0.5000 x1  6 Ga 2.60



2.
Crystalline TbPm2AgSe5 at its relaxed geometry. Source: Alexandria via LeMat-Bulk, functional PBE-GGA.

## Properties
Crystal system: orthorhombic
Uncorrected formation energy in eV/atom: -1.538

Cell: 4.1415 17.4804 12.5246 Å, 90.00 90.00 90.00°
With the nearest neighbours (Å) after each atom.
Space group Cmc2_1 (No. 36)
Unique sites:
Tb: 0.0000 0.1955 0.0000 x4  6 Se 2.78-2.93
Pm: 0.0000 0.1102 0.6771 x4  8 Se 3.01-3.21
Pm: 0.0000 0.1249 0.2965 x4  8 Se 3.01-3.21
Ag: 0.0000 0.4435 0.4516 x4  4 Se 2.56-2.81
Se: 0.0000 0.0450 0.0723 x4  2 Ag 2.57, 1 Tb 2.78
Se: 0.0000 0.2865 0.6601 x4  2 Tb 2.90, 3 Pm 3.09-3.10
Se: 0.0000 0.3064 0.3349 x4  1 Ag 2.81, 2 Tb 2.93
Se: 0.0000 0.3602 0.9917 x4  1 Tb 2.88, 4 Pm 3.15-3.21
Se: 0.0000 0.4977 0.7645 x4  1 Ag 2.56



3.
Crystalline TmSc2AgN at its relaxed geometry. Source: Alexandria via LeMat-Bulk, functional PBE-GGA.

## Properties
Crystal system: tetragonal
Uncorrected formation energy in eV/atom: -0.868

Cell: 4.4158 4.4158 4.7827 Å, 90.00 90.00 90.00°
With the nearest neighbours (Å) after each atom.
Space group P4/mmm (No. 123)
Unique sites:
Tm: 0.0000 0.0000 0.0000 x1  2 N 2.39
Sc: 0.0000 0.5000 0.5000 x2  2 N 2.21
Ag: 0.5000 0.5000 0.0000 x1  4 Tm 3.12, 8 Sc 3.25
N: 0.0000 0.0000 0.5000 x1  4 Sc 2.21, 2 Tm 2.39



4.
Crystalline Y2Ga2F at its relaxed geometry. Source: Alexandria via LeMat-Bulk, functional PBE-GGA.

## Properties
Crystal system: tetragonal
Uncorrected formation energy in eV/atom: -1.276

Cell: 6.7676 6.7676 4.7271 Å, 90.00 90.00 90.00°
With the nearest neighbours (Å) after each atom.
Space group P4/mbm (No. 127)
Unique sites:
Y: 0.1733 0.3267 0.0000 x4  2 F 2.50
Ga: 0.1353 0.6353 0.5000 x4  1 Ga 2.59
F: 0.0000 0.0000 0.0000 x2  4 Y 2.50



5.
Crystalline TaInCl5 at its relaxed geometry. Source: Alexandria via LeMat-Bulk, functional PBE-GGA.

## Properties
Crystal system: monoclinic
Uncorrected formation energy in eV/atom: -1.093

Cell: 14.4233 7.6980 9.4196 Å, 90.00 110.30 90.00°
With the nearest neighbours (Å) after each atom.
Space group C2/c (No. 15)
Unique sites:
Ta: 0.0000 0.0000 0.0000 x4  6 Cl 2.40-2.48
In: 0.0000 0.4366 0.2500 x4  4 Cl 3.04-3.07
Cl: 0.0000 0.0995 0.7500 x4  2 Ta 2.48
Cl: 0.1235 0.2154 0.5160 x8  1 Ta 2.40
Cl: 0.1254 0.2119 0.1164 x8  1 Ta 2.40



6.
Crystalline TaAlOs2 at its relaxed geometry. Source: Alexandria via LeMat-Bulk, functional PBE-GGA.

## Properties
E_form in eV/atom: 0.168
Crystal system: orthorhombic
Excess energy over the best structure of this formula in the dataset in kJ/mol of formula units: 277

Cell: 2.9760 4.6420 8.9576 Å, 90.00 90.00 90.00°
With the nearest neighbours (Å) after each atom.
Space group Cmm2 (No. 35)
Unique sites:
Ta: 0.0000 0.0000 0.0000 x2  2 Os 2.72, 6 Ta 2.76-2.98, 2 Al 2.79
Al: 0.0000 0.5000 0.7370 x2  2 Os 2.54, 4 Al 2.76, 2 Ta 2.79
Os: 0.0000 0.0000 0.5077 x2  2 Al 2.54, 6 Os 2.71-2.76
Os: 0.0000 0.5000 0.2543 x2  8 Os 2.71-2.98, 2 Ta 2.72



7.
Crystalline Ce6PdSe5 at its relaxed geometry. Source: Alexandria via LeMat-Bulk, functional PBE-GGA.

## Properties
Crystal system: monoclinic
Uncorrected formation energy in eV/atom: -1.580

Cell: 7.2958 12.6089 7.2775 Å, 90.00 109.52 90.00°
With the nearest neighbours (Å) after each atom.
Space group C2/m (No. 12)
Unique sites:
Ce: 0.2480 0.0000 0.2485 x4  1 Pd 2.97, 5 Se 2.98
Ce: 0.2480 0.1658 0.7476 x8  1 Pd 2.95, 5 Se 2.97-2.98
Pd: 0.0000 0.0000 0.5000 x2  6 Ce 2.95-2.97
Se: 0.0000 0.1691 0.0000 x4  6 Ce 2.97-2.98
Se: 0.0000 0.3341 0.5000 x4  6 Ce 2.97-2.98
Se: 0.0000 0.5000 0.0000 x2  6 Ce 2.98



8.
Crystalline Li5HgGe at its relaxed geometry. Source: Alexandria via LeMat-Bulk, functional PBE-GGA.

## Properties
E_form in eV/atom: -0.230
Crystal system: tetragonal
Excess energy over the best structure of this formula in the dataset in kJ/mol of formula units: 40

Cell: 4.3003 4.3003 6.9233 Å, 90.00 90.00 90.00°
With the nearest neighbours (Å) after each atom.
Space group P4/mmm (No. 123)
Unique sites:
Li: 0.0000 0.0000 0.0000 x1  8 Li 2.71
Li: 0.0000 0.5000 0.2375 x4  2 Ge 2.71, 2 Li 2.71, 2 Hg 2.82
Hg: 0.0000 0.0000 0.5000 x1  8 Li 2.82
Ge: 0.5000 0.5000 0.0000 x1  8 Li 2.71



9.
Crystalline Ni2PPt at its relaxed geometry. Source: Alexandria via LeMat-Bulk, functional PBE-GGA.

## Properties
E_form in eV/atom: -0.031
Crystal system: trigonal

Cell: 2.7915 2.7915 22.8642 Å, 90.00 90.00 120.00°
With the nearest neighbours (Å) after each atom.
Space group R3m (No. 160, hexagonal axes)
Unique sites:
Ni: 0.0000 0.0000 0.0000 x3  9 Ni 2.54-2.79, 3 Pt 2.67
Ni: 0.0000 0.0000 0.2474 x3  3 P 2.23
P: 0.0000 0.0000 0.5130 x3  3 Ni 2.23
Pt: 0.0000 0.0000 0.7598 x3  3 P 2.55, 3 Ni 2.67, 6 Pt 2.79



10.
Crystalline Re2TcTe at its relaxed geometry. Source: Alexandria via LeMat-Bulk, functional PBE-GGA.

## Properties
Crystal system: orthorhombic
Uncorrected formation energy in eV/atom: 0.594

Cell: 3.0973 4.5170 9.2868 Å, 90.00 90.00 90.00°
With the nearest neighbours (Å) after each atom.
Space group Immm (No. 71)
Unique sites:
Re: 0.0000 0.0000 0.2320 x4  2 Te 2.65, 4 Re 2.76, 2 Tc 2.93
Tc: 0.0000 0.5000 0.0000 x2  4 Te 2.74, 4 Re 2.93
Te: 0.0000 0.5000 0.5000 x2  4 Re 2.65, 4 Tc 2.74



11.
Crystalline CsK2P at its relaxed geometry. Source: Alexandria via LeMat-Bulk, functional PBE-GGA.

## Properties
E_form in eV/atom: -0.143
Crystal system: trigonal

Cell: 5.6299 5.6299 19.4138 Å, 90.00 90.00 120.00°
With the nearest neighbours (Å) after each atom.
Space group R3m (No. 160, hexagonal axes)
Unique sites:
Cs: 0.0000 0.0000 0.0000 x3  4 K 3.77-4.04, 4 P 3.81-4.20
K: 0.0000 0.0000 0.5430 x3  3 P 3.26, 3 K 3.53
K: 0.0000 0.0000 0.8058 x3  3 P 3.44, 3 K 3.53, 1 Cs 3.77
P: 0.0000 0.0000 0.1965 x3  6 K 3.26-3.44



12.
Crystalline Ga2TcHgBi at its relaxed geometry. Source: Alexandria via LeMat-Bulk, functional PBE-GGA.

## Properties
E_form in eV/atom: 0.123
Crystal system: tetragonal

Cell: 4.9609 4.9609 5.2459 Å, 90.00 90.00 90.00°
With the nearest neighbours (Å) after each atom.
Space group P4/mmm (No. 123)
Unique sites:
Ga: 0.0000 0.5000 0.0000 x2  2 Tc 2.48
Tc: 0.0000 0.0000 0.0000 x1  4 Ga 2.48, 2 Bi 2.62
Hg: 0.5000 0.5000 0.5000 x1  4 Bi 3.51, 8 Ga 3.61
Bi: 0.0000 0.0000 0.5000 x1  2 Tc 2.62



13.
Crystalline TlRe2Ag at its relaxed geometry. Source: Alexandria via LeMat-Bulk, functional PBE-GGA.

## Properties
E_form in eV/atom: 0.520
Crystal system: trigonal
Excess energy over the best structure of this formula in the dataset in kJ/mol of formula units: 22

Cell: 2.9025 2.9025 29.4652 Å, 90.00 90.00 120.00°
With the nearest neighbours (Å) after each atom.
Space group R3m (No. 160, hexagonal axes)
Unique sites:
Tl: 0.0000 0.0000 0.0000 x3  6 Tl 2.90, 3 Re 3.08, 3 Ag 3.22
Re: 0.0000 0.0000 0.4900 x3  9 Re 2.63-2.90
Re: 0.0000 0.0000 0.7545 x3  9 Re 2.63-2.90
Ag: 0.0000 0.0000 0.2399 x3  6 Ag 2.90, 3 Re 2.97, 3 Tl 3.22



| no. | VASP energy (eV per atom) | density (g/cm³) | density of states at the Fermi level (states/eV/atom) |
| --- | --- | --- | --- |
| 1 | -4.270 | 7.67 | 0.692 |
| 2 | -5.360 | 6.97 | 0.004 |
| 3 | -6.530 | 6.78 | 1.246 |
| 4 | -5.447 | 5.16 | 0.681 |
| 5 | -4.496 | 3.20 | 0.601 |
| 6 | -9.346 | 15.79 | 0.866 |
| 7 | -6.432 | 7.06 | 3.074 |
| 8 | -2.300 | 3.99 | 0.487 |
| 9 | -5.785 | 11.09 | 1.012 |
| 10 | -9.007 | 15.29 | 0.889 |
| 11 | -2.258 | 2.26 | 1.134 |
| 12 | -3.998 | 8.32 | 0.178 |
| 13 | -7.008 | 15.87 | 0.872 |